#i
This record from OQMD via LeMat-Bulk describes a geometry-optimized NbCoNi structure. The functional is PBE-GGA.

abc: 4.0217 4.0217 4.0217
angles: 60.00 60.00 60.00
With the nearest neighbours (Å) after each atom.
Positions (direct):
1 Co 0.7500 0.7500 0.7500  4 Nb 2.46
2 Nb 0.0000 0.0000 0.0000  4 Co 2.46, 4 Ni 2.46
3 Ni 0.2500 0.2500 0.2500  4 Nb 2.46

Results
Its calculated volume is 46.0 Å³/cell. The space-group type is No. 216. The spin magnetization is 0.0 μB/cell. The calculation puts the density at 7.60 g cm⁻³.



#ii
This record from OQMD via LeMat-Bulk describes a geometry-optimized NbCoNi structure. The functional is PBE-GGA.

abc: 3.9758 3.9758 3.9758
angles: 60.00 60.00 60.00
With the nearest neighbours (Å) after each atom.
Positions (direct):
1 Co 0.0000 0.0000 0.0000  4 Ni 2.43, 4 Nb 2.43
2 Nb 0.2500 0.2500 0.2500  4 Co 2.43
3 Ni 0.7500 0.7500 0.7500  4 Co 2.43

Results
Its calculated volume is 44.4 Å³/cell. The space-group type is No. 216. The spin magnetization is 0.0 μB/cell. The calculation puts the density at 7.87 g cm⁻³.



#ii is the most stable structure; the next one sits 180 meV/atom above it.



#i
This record from OQMD via LeMat-Bulk describes a geometry-optimized NbTlCoNi structure. The functional is PBE-GGA.

abc: 4.3989 4.3989 4.3989
angles: 60.00 60.00 60.00
With the nearest neighbours (Å) after each atom.
Positions (direct):
1 Co 0.7500 0.7500 0.7500  4 Tl 2.69, 4 Nb 2.69
2 Nb 0.5000 0.5000 0.5000  4 Co 2.69, 4 Ni 2.69
3 Ni 0.2500 0.2500 0.2500  4 Nb 2.69, 4 Tl 2.69
4 Tl 0.0000 0.0000 0.0000  4 Co 2.69, 4 Ni 2.69

Results
Its calculated volume is 60.2 Å³/cell. The space-group type is No. 216. The spin magnetization is 0.9 μB/cell. The calculation puts the density at 11.45 g cm⁻³.



#ii
This record from OQMD via LeMat-Bulk describes a geometry-optimized NbTlCoNi structure. The functional is PBE-GGA.

abc: 4.4552 4.4552 4.4552
angles: 60.00 60.00 60.00
With the nearest neighbours (Å) after each atom.
Positions (direct):
1 Co 0.5000 0.5000 0.5000  4 Ni 2.73, 4 Nb 2.73
2 Nb 0.2500 0.2500 0.2500  4 Tl 2.73, 4 Co 2.73
3 Ni 0.7500 0.7500 0.7500  4 Co 2.73, 4 Tl 2.73
4 Tl 0.0000 0.0000 0.0000  4 Nb 2.73, 4 Ni 2.73

Results
Its calculated volume is 62.5 Å³/cell. The space-group type is No. 216. The spin magnetization is 0.9 μB/cell. The calculation puts the density at 11.02 g cm⁻³.



#i is the most stable structure; the next one sits 261 meV/atom above it.



#i
This record from OQMD via LeMat-Bulk describes a geometry-optimized NbZnCoNi structure. The functional is PBE-GGA.

abc: 4.2021 4.2021 4.2021
angles: 60.00 60.00 60.00
With the nearest neighbours (Å) after each atom.
Positions (direct):
1 Co 0.7500 0.7500 0.7500  4 Nb 2.57, 4 Zn 2.57
2 Nb 0.5000 0.5000 0.5000  4 Co 2.57, 4 Ni 2.57
3 Ni 0.2500 0.2500 0.2500  4 Nb 2.57, 4 Zn 2.57
4 Zn 0.0000 0.0000 0.0000  4 Co 2.57, 4 Ni 2.57

Results
Its calculated volume is 52.5 Å³/cell. The space-group type is No. 216. The spin magnetization is 0.6 μB/cell. The calculation puts the density at 8.73 g cm⁻³.



#ii
This record from OQMD via LeMat-Bulk describes a geometry-optimized NbZnCoNi structure. The functional is PBE-GGA.

abc: 4.2275 4.2275 4.2275
angles: 60.00 60.00 60.00
With the nearest neighbours (Å) after each atom.
Positions (direct):
1 Co 0.5000 0.5000 0.5000  4 Nb 2.59, 4 Ni 2.59
2 Nb 0.2500 0.2500 0.2500  4 Co 2.59, 4 Zn 2.59
3 Ni 0.7500 0.7500 0.7500  4 Zn 2.59, 4 Co 2.59
4 Zn 0.0000 0.0000 0.0000  4 Ni 2.59, 4 Nb 2.59

Results
Its calculated volume is 53.4 Å³/cell. The space-group type is No. 216. The spin magnetization is 1.5 μB/cell. The calculation puts the density at 8.58 g cm⁻³.



#i is the most stable structure; the next one sits 201 meV/atom above it.